Record 1
# LiPrGaCu2

Crystalline LiPrGaCu2 at its relaxed geometry (PBE-GGA, the Alexandria database).

Output
- symmetry = I-4m2

Structure (POSCAR):
```
LiPrGaCu2
1.0
-2.051 2.051 5.456
2.051 -2.051 5.456
2.051 2.051 -5.456
Li Pr Ga Cu
1 1 1 2
direct
0.000 0.000 0.000
0.250 0.750 0.500
0.500 0.500 0.000
0.637 0.137 0.500
0.863 0.363 0.500
```

Record 2
# LiPrGa2Cu

Crystalline LiPrGa2Cu at its relaxed geometry (PBE-GGA, the Alexandria database).

Output
- symmetry = I-4m2

Structure (POSCAR):
```
LiPrGa2Cu
1.0
-2.181 2.181 4.987
2.181 -2.181 4.987
2.181 2.181 -4.987
Li Pr Ga Cu
1 1 2 1
direct
0.000 0.000 0.000
0.250 0.750 0.500
0.626 0.126 0.500
0.874 0.374 0.500
0.500 0.500 0.000
```

Number 1: raw total energy -19.178 eV/cell, energy of formation from the pure elements -0.253 eV/atom, DOS(E_F) 0.6925 states/eV/atom. Number 2: raw total energy -18.855 eV/cell, energy of formation from the pure elements -0.402 eV/atom, DOS(E_F) 0.5244 states/eV/atom.